Entry 1:
SrCa2Pt2 | GGA-PBEsol | relaxed

Structure (POSCAR):
```
SrCa2Pt2
1.0
4.111 0.000 0.000
0.000 7.783 0.000
0.000 0.000 7.783
Pt Sr Ca
4 2 4
direct
0.000 0.125 0.375
0.000 0.375 0.875
0.000 0.625 0.125
0.000 0.875 0.625
0.000 0.000 0.000
0.000 0.500 0.500
0.500 0.159 0.659
0.500 0.341 0.159
0.500 0.659 0.841
0.500 0.841 0.341
```

## Properties
Its crystal system is tetragonal. The calculated volume is 24.9 A^3/atom. The raw total energy comes out at -23.519 eV/f.u. For the energy relative to the elements, the calculation gives -0.697 eV/atom. Its density of states at the Fermi level is 0.2050 states/eV per atom. Its space group is P4/mbm, No. 127.

---

Entry 2:
CaTa2Pt | GGA-PBEsol | relaxed

Structure (POSCAR):
```
CaTa2Pt
1.0
2.878 0.000 0.000
0.000 4.864 0.000
-1.439 -2.432 5.546
Ca Pt Ta
1 1 2
direct
0.500 0.000 0.000
0.000 0.500 0.000
0.714 0.714 0.428
0.286 0.286 0.572
```

## Properties
Its crystal system is orthorhombic. The calculated volume is 19.4 A^3/atom. The raw total energy comes out at -34.405 eV/f.u. For the energy relative to the elements, the calculation gives -0.051 eV/atom. Its density of states at the Fermi level is 0.9259 states/eV per atom. Its space group is Immm, No. 71.

---

Entry 3:
CaTaPt2 | GGA-PBEsol | relaxed

Structure (POSCAR):
```
CaTaPt2
1.0
2.869 0.000 0.000
-1.434 3.826 0.017
0.000 -0.721 6.997
Ta Pt Ca
1 2 1
direct
0.000 0.000 0.500
0.751 0.502 0.714
0.249 0.498 0.286
0.500 0.000 0.000
```

## Properties
Its crystal system is monoclinic. The calculated volume is 19.2 A^3/atom. The raw total energy comes out at -30.094 eV/f.u. For the energy relative to the elements, the calculation gives -0.371 eV/atom. Its density of states at the Fermi level is 0.5722 states/eV per atom. Its space group is C2/m, No. 12.

---

Entry 4:
CaTa2Pt | GGA-PBEsol | relaxed

Structure (POSCAR):
```
CaTa2Pt
1.0
2.951 0.000 0.000
0.000 2.913 0.000
0.000 0.000 8.896
Pt Ca Ta
1 1 2
direct
0.000 0.500 0.776
0.500 0.000 0.528
0.000 0.500 0.216
0.500 0.000 0.979
```

## Properties
Its crystal system is orthorhombic. The calculated volume is 19.1 A^3/atom. The raw total energy comes out at -34.475 eV/f.u. For the energy relative to the elements, the calculation gives -0.069 eV/atom. Its density of states at the Fermi level is 1.1459 states/eV per atom. Its space group is Pmm2, No. 25.

---

Which value of raw total energy does entry 1 give?
-23.519 eV/f.u.